Below is a relaxed structure of HfSn2Rh2, with properties calculated at the PBE level. Values from VASP.

Computed properties:
**Total moment**: 0.00 μB per cell
**Total DFT energy (no corrections)**: -7.20 eV/atom
**Symmetry**: P2_1/m, No. 11
**ΔH_f (0 K)**: -0.666 eV per atom
**Calculated volume**: 198.4 Å³/cell

Geometry as Quantum ESPRESSO input:
```
&SYSTEM
  ibrav = 0, nat = 10, ntyp = 3
/
ATOMIC_SPECIES
Hf 178.49 Hf.upf
Sn 118.71 Sn.upf
Rh 102.91 Rh.upf
ATOMIC_POSITIONS crystal
Hf 0.250 0.751 0.329
Sn 0.750 0.251 0.326
Sn 0.250 0.749 0.003
Rh 0.750 0.752 0.176
Hf 0.750 0.249 0.671
Rh 0.250 0.251 0.492
Rh 0.750 0.749 0.508
Rh 0.250 0.248 0.824
Sn 0.250 0.749 0.674
Sn 0.750 0.251 0.997
CELL_PARAMETERS angstrom
4.540 0.000 0.000
0.000 4.537 -0.059
0.000 0.141 9.628
```